{"formula": "HfBi", "functional": "PBE", "state": "optimized geometry", "lattice_angstrom": [[-4.497, 4.497, 4.497], [4.497, -4.497, 4.497], [4.497, 4.497, -4.497]], "species": ["Hf", "Hf", "Hf", "Hf", "Bi", "Bi", "Bi", "Bi"], "frac_coords": [[0.000, 0.000, 0.755], [0.000, 0.755, 0.000], [0.245, 0.245, 0.245], [0.755, 0.000, 0.000], [0.000, 0.000, 0.381], [0.000, 0.381, 0.000], [0.381, 0.000, 0.000], [0.619, 0.619, 0.619]], "rho_g_cm3": 7.07, "final_energy_ev_per_cell": -52.00}